Here is NaTl2GaSe after structural relaxation from the Alexandria database. Energies are from PBE-GGA.

a b c (Å): 5.4875 5.3298 5.4875
angles (deg): 90.00 90.00 90.00
Closest atoms and distances in Å follow each position.
Fractional positions:
Tl: 0.5000 0.0000 0.0000  2 Ga 2.74
Ga: 0.0000 0.0000 0.0000  2 Se 2.66, 4 Tl 2.74
Tl: 0.0000 0.0000 0.5000  2 Ga 2.74
Se: 0.0000 0.5000 0.0000  2 Ga 2.66
Na: 0.5000 0.5000 0.5000  8 Tl 3.82, 4 Se 3.88

DOS at the Fermi energy, states/eV/cell: 2.39
Formation energy without anion corrections, eV per atom: -0.048
Total energy, eV per atom: -2.561
Mass density, g/cm³: 6.0